[1]
Compound: Zr6BCl14
Source: Alexandria
Functional: PBE
Structure: optimized geometry

```
data_Zr6BCl14
_chemical_formula_sum 'Zr24 B4 Cl56'
_cell_length_a 14.4861
_cell_length_b 13.0687
_cell_length_c 11.7259
_cell_angle_alpha 90.00
_cell_angle_beta 90.00
_cell_angle_gamma 90.00
_symmetry_space_group_name_H-M 'C m c e'
_symmetry_Int_Tables_number 64
_symmetry_space_group_name_Hall '-C 2ac 2'
loop_
_atom_site_label
_atom_site_type_symbol
_atom_site_fract_x
_atom_site_fract_y
_atom_site_fract_z
Zr1 Zr 0.0000 0.1473 0.1079
Zr2 Zr 0.1168 0.0693 0.8817
B1 B 0.0000 0.0000 0.0000
Cl1 Cl 0.0000 0.1564 0.7398
Cl2 Cl 0.1218 0.0871 0.2484
Cl3 Cl 0.1228 0.2383 0.9909
Cl4 Cl 0.2483 0.0000 0.0000
Cl5 Cl 0.2500 0.1456 0.7500
```

Results
Uncorrected formation energy = -1.74 eV per atom
Total moment = 0.9 μB per formula unit



[2]
Compound: BaBeCl3
Source: Alexandria
Functional: PBE
Structure: optimized geometry

```
data_BaBeCl3
_chemical_formula_sum 'Ba1 Be1 Cl3'
_cell_length_a 4.8376
_cell_length_b 4.8376
_cell_length_c 4.8376
_cell_angle_alpha 90.00
_cell_angle_beta 90.00
_cell_angle_gamma 90.00
_symmetry_space_group_name_H-M 'P m -3 m'
_symmetry_Int_Tables_number 221
_symmetry_space_group_name_Hall '-P 4 2 3'
loop_
_atom_site_label
_atom_site_type_symbol
_atom_site_fract_x
_atom_site_fract_y
_atom_site_fract_z
Ba1 Ba 0.0000 0.0000 0.0000
Be1 Be 0.5000 0.5000 0.5000
Cl1 Cl 0.0000 0.5000 0.5000
```

Results
Uncorrected formation energy = -1.32 eV per atom
Energy relative to the lowest polymorph listed for this composition = 0.000 eV/atom
Total moment = 0.0 μB per formula unit



[3]
Compound: Ag2HgCl
Source: Alexandria
Functional: PBE
Structure: optimized geometry

```
data_Ag2HgCl
_chemical_formula_sum 'Ag4 Hg2 Cl2'
_cell_length_a 6.3369
_cell_length_b 8.0322
_cell_length_c 3.2405
_cell_angle_alpha 90.00
_cell_angle_beta 90.00
_cell_angle_gamma 90.00
_symmetry_space_group_name_H-M 'C m m m'
_symmetry_Int_Tables_number 65
_symmetry_space_group_name_Hall '-C 2 2'
loop_
_atom_site_label
_atom_site_type_symbol
_atom_site_fract_x
_atom_site_fract_y
_atom_site_fract_z
Ag1 Ag 0.2500 0.2500 0.0000
Hg1 Hg 0.0000 0.0000 0.5000
Cl1 Cl 0.0000 0.5000 0.5000
```

Results
Uncorrected formation energy = 0.01 eV per atom
Energy relative to the lowest polymorph listed for this composition = 0.158 eV/atom
Total moment = 0.0 μB per formula unit



[4]
Compound: TbPuZr2
Source: Alexandria
Functional: PBE
Structure: optimized geometry

```
data_TbPuZr2
_chemical_formula_sum 'Tb3 Pu3 Zr6'
_cell_length_a 3.3094
_cell_length_b 3.3094
_cell_length_c 32.2643
_cell_angle_alpha 90.00
_cell_angle_beta 90.00
_cell_angle_gamma 120.00
_symmetry_space_group_name_H-M 'R -3 m'
_symmetry_Int_Tables_number 166
_symmetry_space_group_name_Hall '-R 3 2"'
loop_
_atom_site_label
_atom_site_type_symbol
_atom_site_fract_x
_atom_site_fract_y
_atom_site_fract_z
Tb1 Tb 0.0000 0.0000 0.0000
Pu1 Pu 0.0000 0.0000 0.5000
Zr1 Zr 0.0000 0.0000 0.2471
```

Results
Calculated formation energy = 156.6 meV per atom
Energy relative to the lowest polymorph listed for this composition = 0.001 eV/atom
Total moment = 5.2 μB per formula unit



[5]
Compound: AcThAu2
Source: Alexandria
Functional: PBE
Structure: optimized geometry

```
data_AcThAu2
_chemical_formula_sum 'Ac3 Th3 Au6'
_cell_length_a 4.2055
_cell_length_b 4.2055
_cell_length_c 24.2416
_cell_angle_alpha 90.00
_cell_angle_beta 90.00
_cell_angle_gamma 120.00
_symmetry_space_group_name_H-M 'R 3 m'
_symmetry_Int_Tables_number 160
_symmetry_space_group_name_Hall 'R 3 -2"'
loop_
_atom_site_label
_atom_site_type_symbol
_atom_site_fract_x
_atom_site_fract_y
_atom_site_fract_z
Ac1 Ac 0.0000 0.0000 0.0000
Th1 Th 0.0000 0.0000 0.1696
Au1 Au 0.0000 0.0000 0.5783
Au2 Au 0.0000 0.0000 0.7596
```

Results
Calculated formation energy = -582.4 meV per atom
Energy relative to the lowest polymorph listed for this composition = 0.091 eV/atom
Total moment = 0.0 μB per formula unit



[6]
Compound: ScSbIr2
Source: Alexandria
Functional: PBE
Structure: optimized geometry

```
data_ScSbIr2
_chemical_formula_sum 'Sc4 Sb4 Ir8'
_cell_length_a 6.5517
_cell_length_b 6.5517
_cell_length_c 6.5517
_cell_angle_alpha 90.00
_cell_angle_beta 90.00
_cell_angle_gamma 90.00
_symmetry_space_group_name_H-M 'F -4 3 m'
_symmetry_Int_Tables_number 216
_symmetry_space_group_name_Hall 'F -4 2 3'
loop_
_atom_site_label
_atom_site_type_symbol
_atom_site_fract_x
_atom_site_fract_y
_atom_site_fract_z
Sc1 Sc 0.0000 0.0000 0.0000
Sb1 Sb 0.2500 0.2500 0.2500
Ir1 Ir 0.0000 0.0000 0.5000
Ir2 Ir 0.2500 0.2500 0.7500
```

Results
Uncorrected formation energy = -0.12 eV per atom
Total moment = 0.0 μB per formula unit



[7]
Compound: CsAlAs2Se
Source: Alexandria
Functional: PBE
Structure: optimized geometry

```
data_CsAlAs2Se
_chemical_formula_sum 'Cs1 Al1 As2 Se1'
_cell_length_a 5.9698
_cell_length_b 5.9698
_cell_length_c 6.0777
_cell_angle_alpha 90.00
_cell_angle_beta 90.00
_cell_angle_gamma 90.00
_symmetry_space_group_name_H-M 'P 4/m m m'
_symmetry_Int_Tables_number 123
_symmetry_space_group_name_Hall '-P 4 2'
loop_
_atom_site_label
_atom_site_type_symbol
_atom_site_fract_x
_atom_site_fract_y
_atom_site_fract_z
Cs1 Cs 0.0000 0.0000 0.0000
Al1 Al 0.5000 0.5000 0.5000
As1 As 0.0000 0.5000 0.0000
Se1 Se 0.0000 0.0000 0.5000
```

Results
Uncorrected formation energy = 1.51 eV per atom
Energy relative to the lowest polymorph listed for this composition = 1.535 eV/atom
Total moment = 2.7 μB per formula unit



[8]
Compound: Sm3Be2InPd9
Source: Alexandria
Functional: PBE
Structure: optimized geometry

```
data_Sm3Be2InPd9
_chemical_formula_sum 'Sm3 Be2 In1 Pd9'
_cell_length_a 5.9251
_cell_length_b 5.9251
_cell_length_c 9.5652
_cell_angle_alpha 90.00
_cell_angle_beta 90.00
_cell_angle_gamma 120.00
_symmetry_space_group_name_H-M 'P -3 m 1'
_symmetry_Int_Tables_number 164
_symmetry_space_group_name_Hall '-P 3 2"'
loop_
_atom_site_label
_atom_site_type_symbol
_atom_site_fract_x
_atom_site_fract_y
_atom_site_fract_z
Sm1 Sm 0.0000 0.0000 0.0000
Sm2 Sm 0.3333 0.6667 0.7053
Be1 Be 0.3333 0.6667 0.1458
In1 In 0.0000 0.0000 0.5000
Pd1 Pd 0.0000 0.5000 0.0000
Pd2 Pd 0.1609 0.3218 0.2748
```

Results
Calculated formation energy = -641.9 meV per atom
Total moment = 0.0 μB per formula unit



[9]
Compound: CaNd3Tl2
Source: Alexandria
Functional: PBE
Structure: optimized geometry

```
data_CaNd3Tl2
_chemical_formula_sum 'Ca2 Nd6 Tl4'
_cell_length_a 6.9666
_cell_length_b 5.5443
_cell_length_c 9.6846
_cell_angle_alpha 90.00
_cell_angle_beta 90.00
_cell_angle_gamma 90.00
_symmetry_space_group_name_H-M 'P m m a'
_symmetry_Int_Tables_number 51
_symmetry_space_group_name_Hall '-P 2a 2a'
loop_
_atom_site_label
_atom_site_type_symbol
_atom_site_fract_x
_atom_site_fract_y
_atom_site_fract_z
Ca1 Ca 0.0000 0.0000 0.0000
Nd1 Nd 0.0000 0.5000 0.5000
Nd2 Nd 0.2500 0.0000 0.3330
Nd3 Nd 0.2500 0.5000 0.8333
Tl1 Tl 0.2500 0.0000 0.6667
Tl2 Tl 0.2500 0.5000 0.1644
```

Results
Calculated formation energy = -319.7 meV per atom
Energy relative to the lowest polymorph listed for this composition = 0.000 eV/atom
Total moment = 0.8 μB per formula unit



[10]
Compound: MoIr2Se
Source: Alexandria
Functional: PBE
Structure: optimized geometry

```
data_MoIr2Se
_chemical_formula_sum 'Mo2 Ir4 Se2'
_cell_length_a 3.9825
_cell_length_b 2.8727
_cell_length_c 10.8275
_cell_angle_alpha 90.00
_cell_angle_beta 90.00
_cell_angle_gamma 90.00
_symmetry_space_group_name_H-M 'A m m 2'
_symmetry_Int_Tables_number 38
_symmetry_space_group_name_Hall 'A 2 -2'
loop_
_atom_site_label
_atom_site_type_symbol
_atom_site_fract_x
_atom_site_fract_y
_atom_site_fract_z
Mo1 Mo 0.0000 0.0000 0.0000
Ir1 Ir 0.0000 0.0000 0.7520
Ir2 Ir 0.5000 0.0000 0.3847
Se1 Se 0.5000 0.0000 0.6139
```

Results
Uncorrected formation energy = 0.16 eV per atom
Total moment = 0.0 μB per formula unit



[11]
Compound: La2YC2I2
Source: Alexandria
Functional: PBE
Structure: optimized geometry

```
data_La2YC2I2
_chemical_formula_sum 'La4 Y2 C4 I4'
_cell_length_a 4.5735
_cell_length_b 4.5735
_cell_length_c 19.3015
_cell_angle_alpha 90.00
_cell_angle_beta 90.00
_cell_angle_gamma 90.00
_symmetry_space_group_name_H-M 'I 4/m m m'
_symmetry_Int_Tables_number 139
_symmetry_space_group_name_Hall '-I 4 2'
loop_
_atom_site_label
_atom_site_type_symbol
_atom_site_fract_x
_atom_site_fract_y
_atom_site_fract_z
La1 La 0.0000 0.0000 0.0828
Y1 Y 0.0000 0.0000 0.5000
C1 C 0.0000 0.5000 0.0000
I1 I 0.0000 0.0000 0.3316
```

Results
Uncorrected formation energy = -0.59 eV per atom
Total moment = 0.0 μB per formula unit



[12]
Compound: TaSbBr2
Source: Alexandria
Functional: PBE
Structure: optimized geometry

```
data_TaSbBr2
_chemical_formula_sum 'Ta2 Sb2 Br4'
_cell_length_a 6.2666
_cell_length_b 9.8606
_cell_length_c 3.8427
_cell_angle_alpha 90.00
_cell_angle_beta 125.72
_cell_angle_gamma 90.00
_symmetry_space_group_name_H-M 'C 1 2/m 1'
_symmetry_Int_Tables_number 12
_symmetry_space_group_name_Hall '-C 2y'
loop_
_atom_site_label
_atom_site_type_symbol
_atom_site_fract_x
_atom_site_fract_y
_atom_site_fract_z
Ta1 Ta 0.0000 0.0000 0.0000
Sb1 Sb 0.0000 0.5000 0.0000
Br1 Br 0.2500 0.2500 0.5000
```

Results
Uncorrected formation energy = 0.55 eV per atom
Energy relative to the lowest polymorph listed for this composition = 0.870 eV/atom
Total moment = 1.8 μB per formula unit